# 1
DFT (PBE) results for crystalline YSc2InAu4 at its relaxed geometry.

Summary:
SG   R-3m, No. 166
E_tot   -40.69 eV for the cell shown
Total moment   0.000 μB/atom
Formation energy from the elements   -0.715 eV/atom

Cell lengths 4.852, 4.852, 8.612 Å; angles 73.64, 73.64, 60.00 degrees
Atoms (fractional coordinates):
In: 0.500 0.500 0.500
Y: 0.000 0.000 0.000
Sc: 0.756 0.756 0.731
Au: 0.880 0.880 0.361
Au: 0.625 0.625 0.125
Sc: 0.244 0.244 0.269
Au: 0.375 0.375 0.875
Au: 0.120 0.120 0.639

***

# 2
DFT (PBE) results for crystalline GdYTl2 at its relaxed geometry.

Summary:
Relative energy among the computed polymorphs   1.2 kJ per mole of atoms
SG   Fm-3m, No. 225
E_tot   -26.79 eV for the cell shown
Total moment   1.855 μB/atom
Formation energy from the elements   -0.378 eV/atom

Cell lengths 5.399, 5.399, 5.399 Å; angles 60.00, 60.00, 60.00 degrees
Atoms (fractional coordinates):
Tl: 0.750 0.750 0.750
Gd: 0.000 0.000 0.000
Tl: 0.250 0.250 0.250
Y: 0.500 0.500 0.500

***

# 3
DFT (PBE) results for crystalline PrGdCuSb at its relaxed geometry.

Summary:
SG   F-43m, No. 216
E_tot   -29.10 eV for the cell shown
Total moment   1.916 μB/atom

Cell lengths 5.267, 5.267, 5.267 Å; angles 60.00, 60.00, 60.00 degrees
Atoms (fractional coordinates):
Cu: 0.250 0.250 0.250
Gd: 0.000 0.000 0.000
Sb: 0.750 0.750 0.750
Pr: 0.500 0.500 0.500

***

# 4
DFT (PBE) results for crystalline ErUOs at its relaxed geometry.

Summary:
Relative energy among the computed polymorphs   0.0 kJ per mole of atoms
SG   I4mm, No. 107
E_tot   -27.14 eV for the cell shown
Total moment   0.274 μB/atom
Formation energy from the elements   -0.020 eV/atom

Cell lengths 3.493, 3.493, 5.890 Å; angles 107.25, 107.25, 90.00 degrees
Atoms (fractional coordinates):
Os: 0.693 0.693 0.386
Er: 0.004 0.004 0.008
U: 0.303 0.303 0.606

***

# 5
DFT (PBE) results for crystalline Mg3H5Ir2 at its relaxed geometry.

Summary:
Relative energy among the computed polymorphs   6.6 kJ per mole of atoms
SG   Pm, No. 6
E_tot   -42.44 eV for the cell shown
Total moment   0.000 μB/atom

Cell lengths 7.821, 4.685, 3.077 Å; angles 90.00, 90.00, 111.06 degrees
Atoms (fractional coordinates):
H: 0.705 0.705 0.787
Mg: 0.887 0.568 0.287
Ir: 0.249 0.776 0.787
H: 0.392 0.578 0.787
Mg: 0.203 0.247 0.287
Mg: 0.564 0.942 0.287
Ir: 0.865 0.052 0.787
H: 0.068 0.925 0.787
H: 0.410 0.123 0.787
H: 0.045 0.422 0.787

***

# 6
DFT (PBE) results for crystalline Tl3TeF at its relaxed geometry.

Summary:
Relative energy among the computed polymorphs   0.0 kJ per mole of atoms
SG   Pm-3m, No. 221
E_tot   -16.22 eV for the cell shown
Total moment   0.000 μB/atom

Cell lengths 5.352, 5.352, 5.352 Å; angles 90.00, 90.00, 90.00 degrees
Atoms (fractional coordinates):
Tl: 0.500 0.000 0.000
F: 0.000 0.000 0.000
Te: 0.500 0.500 0.500
Tl: 0.000 0.000 0.500
Tl: 0.000 0.500 0.000

***

# 7
DFT (PBE) results for crystalline TiGeAu3 at its relaxed geometry.

Summary:
Relative energy among the computed polymorphs   17.2 kJ per mole of atoms
SG   Pm-3m, No. 221
E_tot   -18.74 eV for the cell shown
Total moment   0.254 μB/atom
Formation energy from the elements   0.721 eV/atom

Cell lengths 4.984, 4.984, 4.984 Å; angles 90.00, 90.00, 90.00 degrees
Atoms (fractional coordinates):
Au: 0.000 0.500 0.000
Au: 0.500 0.000 0.000
Au: 0.000 0.000 0.500
Ti: 0.000 0.000 0.000
Ge: 0.500 0.500 0.500

***

# 8
DFT (PBE) results for crystalline InRh3N at its relaxed geometry.

Summary:
Relative energy among the computed polymorphs   0.0 kJ per mole of atoms
SG   Pm-3m, No. 221
E_tot   -33.26 eV for the cell shown
Total moment   0.000 μB/atom

Cell lengths 4.134, 4.134, 4.134 Å; angles 90.00, 90.00, 90.00 degrees
Atoms (fractional coordinates):
In: 0.500 0.500 0.500
Rh: 0.500 0.000 0.000
Rh: 0.000 0.500 0.000
Rh: 0.000 0.000 0.500
N: 0.000 0.000 0.000

***

# 9
DFT (PBE) results for crystalline Te2PtPbN at its relaxed geometry.

Summary:
Relative energy among the computed polymorphs   0.0 kJ per mole of atoms
SG   P4/mmm, No. 123
E_tot   -23.03 eV for the cell shown
Total moment   0.000 μB/atom

Cell lengths 5.783, 5.783, 3.724 Å; angles 90.00, 90.00, 90.00 degrees
Atoms (fractional coordinates):
Pb: 0.500 0.500 0.500
Te: 0.500 0.000 0.000
N: 0.000 0.000 0.500
Te: 0.000 0.500 0.000
Pt: 0.000 0.000 0.000

***

# 10
DFT (PBE) results for crystalline SrTc2Mo at its relaxed geometry.

Summary:
Relative energy among the computed polymorphs   22.9 kJ per mole of atoms
SG   R-3m, No. 166
E_tot   -30.29 eV for the cell shown
Total moment   0.000 μB/atom
Formation energy from the elements   0.739 eV/atom

Cell lengths 9.261, 9.261, 9.261 Å; angles 19.37, 19.37, 19.37 degrees
Atoms (fractional coordinates):
Tc: 0.985 0.985 0.985
Tc: 0.515 0.515 0.515
Mo: 0.250 0.250 0.250
Sr: 0.750 0.750 0.750

***

# 11
DFT (PBE) results for crystalline Tm2Fe2Ni15 at its relaxed geometry.

Summary:
SG   R-3m, No. 166
E_tot   -116.74 eV for the cell shown
Total moment   0.616 μB/atom
Formation energy from the elements   -0.219 eV/atom

Cell lengths 6.249, 6.249, 6.249 Å; angles 82.65, 82.65, 82.65 degrees
Atoms (fractional coordinates):
Ni: 0.702 0.298 0.000
Ni: 0.702 0.000 0.298
Fe: 0.905 0.905 0.905
Ni: 0.655 0.154 0.655
Fe: 0.095 0.095 0.095
Ni: 0.345 0.345 0.846
Ni: 0.655 0.655 0.154
Ni: 0.000 0.500 0.000
Ni: 0.000 0.000 0.500
Ni: 0.345 0.846 0.345
Ni: 0.298 0.702 0.000
Ni: 0.500 0.000 0.000
Ni: 0.298 0.000 0.702
Ni: 0.154 0.655 0.655
Ni: 0.000 0.702 0.298
Tm: 0.658 0.658 0.658
Ni: 0.846 0.345 0.345
Ni: 0.000 0.298 0.702
Tm: 0.342 0.342 0.342

***

# 12
DFT (PBE) results for crystalline LiCoNiRh at its relaxed geometry.

Summary:
SG   F-43m, No. 216
E_tot   -21.84 eV for the cell shown
Total moment   0.806 μB/atom
Formation energy from the elements   0.078 eV/atom

Cell lengths 4.108, 4.108, 4.108 Å; angles 60.00, 60.00, 60.00 degrees
Atoms (fractional coordinates):
Li: 0.000 0.000 0.000
Co: 0.750 0.750 0.750
Ni: 0.250 0.250 0.250
Rh: 0.500 0.500 0.500

***

no.,calculated volume (A^3/atom)
1,20.8
2,27.8
3,25.8
4,21.7
5,10.5
6,30.7
7,24.8
8,14.1
9,24.9
10,19.1
11,12.6
12,12.3